[1]
{
  "formula": "Ac2LaCrO8",
  "functional": "PBE+U",
  "state": "optimized geometry",
  "lattice_angstrom": [[-4.759, 1.119, 2.672], [0.419, -4.581, -3.142], [2.109, -3.342, 5.155]],
  "species": ["Cr", "O", "O", "La", "Ac", "O", "O", "Ac", "O", "O", "O", "O"],
  "fractional_positions": [[0.000, 0.000, 0.000], [0.687, 0.844, 0.170], [0.156, 0.844, 0.170], [0.000, 0.000, 0.500], [0.333, 0.667, 0.862], [0.156, 0.313, 0.170], [0.667, 0.333, 0.474], [0.667, 0.333, 0.138], [0.844, 0.687, 0.830], [0.333, 0.667, 0.526], [0.844, 0.156, 0.830], [0.313, 0.156, 0.830]],
  "magnetic_moment_mub_per_fu": 1.0,
  "dft_energy_ev_per_atom": -7.207
}



[2]
{
  "formula": "AcLaCr2O8",
  "functional": "PBE+U",
  "state": "optimized geometry",
  "lattice_angstrom": [[-4.894, -1.503, 3.699], [5.664, 0.336, 2.775], [-1.202, 5.797, -2.199]],
  "species": ["O", "Cr", "O", "O", "O", "Cr", "O", "O", "O", "Ac", "La", "O"],
  "fractional_positions": [[0.920, 0.592, 0.672], [0.750, 0.250, 0.500], [0.482, 0.661, 0.821], [0.920, 0.248, 0.328], [0.840, 0.661, 0.179], [0.500, 0.500, 0.000], [0.752, 0.080, 0.672], [0.339, 0.160, 0.821], [0.408, 0.080, 0.328], [0.000, 0.000, 0.000], [0.250, 0.750, 0.500], [0.339, 0.518, 0.179]],
  "magnetic_moment_mub_per_fu": 2.0,
  "dft_energy_ev_per_atom": -7.649
}



What is the formula in the first record?
Ac2LaCrO8